Material: LiHPd2
Method: DFT, GGA-PBE
State: optimized geometry

abc: 2.768 2.768 5.951
angles: 90.00 90.00 90.00
Positions (direct):
Li  0.000  0.000  0.000
H  0.000  0.000  0.500
Pd  0.500  0.500  0.282
Pd  0.500  0.500  0.718

Energy above the most stable polymorph in this dataset ... 1.139 eV per formula unit
Symmetry ... P4/mmm (123)